[1]
# Tb3Y7Ho (PBE, relaxed)
data_Tb3Y7Ho
_chemical_formula_sum 'Tb3 Y7 Ho1'
_symmetry_space_group_name_H-M 'P 1 2/m 1'
_symmetry_Int_Tables_number 10
_cell_length_a 6.9231
_cell_length_b 5.5404
_cell_length_c 10.0112
_cell_angle_alpha 90.00
_cell_angle_beta 109.70
_cell_angle_gamma 90.00
loop_
_symmetry_equiv_pos_as_xyz
'x,y,z'
'-x,-y,-z'
'-x,y,-z'
'x,-y,z'
loop_
_atom_site_label
_atom_site_fract_x
_atom_site_fract_y
_atom_site_fract_z
Tb1 0.0000 0.0000 0.0000
Tb2 0.2789 0.5000 0.4976
Y1 0.0000 0.0000 0.5000
Y2 0.1473 0.5000 0.7889
Y3 0.3182 0.5000 0.1369
Y4 0.4196 0.0000 0.3297
Ho1 0.5000 0.0000 0.0000
# Polymorph energy (0 for the lowest one), eV/atom: 0.000
# Crystal system: monoclinic

---

[2]
# Tb12YHo7 (PBE, relaxed)
data_Tb12YHo7
_chemical_formula_sum 'Tb36 Y3 Ho21'
_symmetry_space_group_name_H-M 'R -3'
_symmetry_Int_Tables_number 148
_symmetry_space_group_name_Hall '-R 3'
_cell_length_a 12.7960
_cell_length_b 12.7960
_cell_length_c 13.7017
_cell_angle_alpha 90.00
_cell_angle_beta 90.00
_cell_angle_gamma 120.00
loop_
_atom_site_label
_atom_site_fract_x
_atom_site_fract_y
_atom_site_fract_z
Tb1 0.9995 0.4351 0.2503
Tb2 0.0683 0.1998 0.3474
Y1 0.0000 0.0000 0.0000
Ho1 0.0000 0.0000 0.5000
Ho2 0.0683 0.8683 0.8476
# Polymorph energy (0 for the lowest one), eV/atom: 0.000
# Crystal system: trigonal

---

[3]
# Tb4Y2Ho (PBE, relaxed)
data_Tb4Y2Ho
_chemical_formula_sum 'Tb8 Y4 Ho2'
_symmetry_space_group_name_H-M 'P 1 21/m 1'
_symmetry_Int_Tables_number 11
_cell_length_a 6.2354
_cell_length_b 6.5102
_cell_length_c 11.4992
_cell_angle_alpha 90.00
_cell_angle_beta 105.56
_cell_angle_gamma 90.00
loop_
_symmetry_equiv_pos_as_xyz
'x,y,z'
'-x,-y,-z'
'-x,y+1/2,-z'
'x,-y+1/2,z'
loop_
_atom_site_label
_atom_site_fract_x
_atom_site_fract_y
_atom_site_fract_z
Tb1 0.0370 0.2500 0.3636
Tb2 0.1417 0.2500 0.9484
Tb3 0.3426 0.5050 0.2137
Y1 0.2954 0.7500 0.9244
Y2 0.3870 0.7500 0.5048
Ho1 0.1628 0.2500 0.6651
# Polymorph energy (0 for the lowest one), eV/atom: 0.124
# Crystal system: monoclinic

---

[4]
# TbY3Ho5 (PBE, relaxed)
data_TbY3Ho5
_chemical_formula_sum 'Tb4 Y12 Ho20'
_symmetry_space_group_name_H-M 'C 1 2/c 1'
_symmetry_Int_Tables_number 15
_cell_length_a 18.1586
_cell_length_b 6.3353
_cell_length_c 11.3597
_cell_angle_alpha 90.00
_cell_angle_beta 112.77
_cell_angle_gamma 90.00
loop_
_symmetry_equiv_pos_as_xyz
'x,y,z'
'-x,-y,-z'
'-x,y,-z+1/2'
'x,-y,z+1/2'
'x+1/2,y+1/2,z'
'-x+1/2,-y+1/2,-z'
'-x+1/2,y+1/2,-z+1/2'
'x+1/2,-y+1/2,z+1/2'
loop_
_atom_site_label
_atom_site_fract_x
_atom_site_fract_y
_atom_site_fract_z
Tb1 0.0000 0.1332 0.2500
Y1 0.0000 0.0000 0.0000
Y2 0.1704 0.1755 0.8696
Ho1 0.0000 0.3930 0.7500
Ho2 0.1603 0.3100 0.5112
Ho3 0.1679 0.2989 0.2118
# Polymorph energy (0 for the lowest one), eV/atom: 0.237
# Crystal system: monoclinic

---

[5]
# Tb3Y4Ho (PBE, relaxed)
data_Tb3Y4Ho
_chemical_formula_sum 'Tb6 Y8 Ho2'
_symmetry_space_group_name_H-M 'C m m m'
_symmetry_Int_Tables_number 65
_symmetry_space_group_name_Hall '-C 2 2'
_cell_length_a 5.6339
_cell_length_b 26.3088
_cell_length_c 3.5572
_cell_angle_alpha 90.00
_cell_angle_beta 90.00
_cell_angle_gamma 90.00
loop_
_atom_site_label
_atom_site_fract_x
_atom_site_fract_y
_atom_site_fract_z
Tb1 0.0000 0.0000 0.0000
Tb2 0.0000 0.1550 0.5000
Y1 0.0000 0.2772 0.0000
Y2 0.0000 0.3970 0.0000
Ho1 0.0000 0.5000 0.5000
# Polymorph energy (0 for the lowest one), eV/atom: 0.195
# Crystal system: orthorhombic

---

[6]
# Tb4YHo3 (PBE, relaxed)
data_Tb4YHo3
_chemical_formula_sum 'Tb8 Y2 Ho6'
_symmetry_space_group_name_H-M 'C 1 2/m 1'
_symmetry_Int_Tables_number 12
_cell_length_a 25.9244
_cell_length_b 5.6253
_cell_length_c 3.5722
_cell_angle_alpha 90.00
_cell_angle_beta 90.07
_cell_angle_gamma 90.00
loop_
_symmetry_equiv_pos_as_xyz
'x,y,z'
'-x,-y,-z'
'-x,y,-z'
'x,-y,z'
'x+1/2,y+1/2,z'
'-x+1/2,-y+1/2,-z'
'-x+1/2,y+1/2,-z'
'x+1/2,-y+1/2,z'
loop_
_atom_site_label
_atom_site_fract_x
_atom_site_fract_y
_atom_site_fract_z
Tb1 0.1039 0.0000 0.0001
Tb2 0.2234 0.0000 0.9992
Y1 0.0000 0.0000 0.5000
Ho1 0.0000 0.5000 0.0000
Ho2 0.1539 0.5000 0.4997
# Polymorph energy (0 for the lowest one), eV/atom: 0.200
# Crystal system: monoclinic

---

[7]
# Tb3Y8Ho2 (PBE, relaxed)
data_Tb3Y8Ho2
_chemical_formula_sum 'Tb6 Y16 Ho4'
_symmetry_space_group_name_H-M 'C 1 2/m 1'
_symmetry_Int_Tables_number 12
_cell_length_a 20.1684
_cell_length_b 7.6482
_cell_length_c 5.6470
_cell_angle_alpha 90.00
_cell_angle_beta 90.02
_cell_angle_gamma 90.00
loop_
_symmetry_equiv_pos_as_xyz
'x,y,z'
'-x,-y,-z'
'-x,y,-z'
'x,-y,z'
'x+1/2,y+1/2,z'
'-x+1/2,-y+1/2,-z'
'-x+1/2,y+1/2,-z'
'x+1/2,-y+1/2,z'
loop_
_atom_site_label
_atom_site_fract_x
_atom_site_fract_y
_atom_site_fract_z
Tb1 0.0000 0.0000 0.0000
Tb2 0.0000 0.2855 0.5000
Y1 0.1078 0.2890 0.0002
Y2 0.1336 0.0000 0.4998
Y3 0.1705 0.5000 0.5006
Ho1 0.2414 0.0000 0.9994
# Crystal system: monoclinic

---

[8]
# Tb2Y3Ho (PBE, relaxed)
data_Tb2Y3Ho
_chemical_formula_sum 'Tb8 Y12 Ho4'
_symmetry_space_group_name_H-M 'C 1 2/c 1'
_symmetry_Int_Tables_number 15
_cell_length_a 17.4540
_cell_length_b 7.1221
_cell_length_c 6.1573
_cell_angle_alpha 90.00
_cell_angle_beta 90.11
_cell_angle_gamma 90.00
loop_
_symmetry_equiv_pos_as_xyz
'x,y,z'
'-x,-y,-z'
'-x,y,-z+1/2'
'x,-y,z+1/2'
'x+1/2,y+1/2,z'
'-x+1/2,-y+1/2,-z'
'-x+1/2,y+1/2,-z+1/2'
'x+1/2,-y+1/2,z+1/2'
loop_
_atom_site_label
_atom_site_fract_x
_atom_site_fract_y
_atom_site_fract_z
Tb1 0.1664 0.1251 0.4168
Y1 0.0000 0.1253 0.7500
Y2 0.1663 0.3751 0.9173
Ho1 0.0000 0.3750 0.2500
# Polymorph energy (0 for the lowest one), eV/atom: 0.000
# Crystal system: monoclinic

---

[9]
# TbY2Ho (PBE, relaxed)
data_TbY2Ho
_chemical_formula_sum 'Tb3 Y6 Ho3'
_symmetry_space_group_name_H-M 'R 3 m'
_symmetry_Int_Tables_number 160
_symmetry_space_group_name_Hall 'R 3 -2"'
_cell_length_a 3.5868
_cell_length_b 3.5868
_cell_length_c 34.3997
_cell_angle_alpha 90.00
_cell_angle_beta 90.00
_cell_angle_gamma 120.00
loop_
_atom_site_label
_atom_site_fract_x
_atom_site_fract_y
_atom_site_fract_z
Tb1 0.0000 0.0000 0.0000
Y1 0.0000 0.0000 0.4175
Y2 0.0000 0.0000 0.5829
Ho1 0.0000 0.0000 0.8340
# Polymorph energy (0 for the lowest one), eV/atom: 0.004
# Crystal system: trigonal

---

[10]
# Tb9Y2Ho (PBE, relaxed)
data_Tb9Y2Ho
_chemical_formula_sum 'Tb9 Y2 Ho1'
_symmetry_space_group_name_H-M 'P 4/m m m'
_symmetry_Int_Tables_number 123
_symmetry_space_group_name_Hall '-P 4 2'
_cell_length_a 5.0351
_cell_length_b 5.0351
_cell_length_c 15.1053
_cell_angle_alpha 90.00
_cell_angle_beta 90.00
_cell_angle_gamma 90.00
loop_
_atom_site_label
_atom_site_fract_x
_atom_site_fract_y
_atom_site_fract_z
Tb1 0.0000 0.0000 0.0000
Tb2 0.0000 0.0000 0.3330
Tb3 0.0000 0.5000 0.1658
Tb4 0.0000 0.5000 0.5000
Y1 0.5000 0.5000 0.3330
Ho1 0.5000 0.5000 0.0000
# Polymorph energy (0 for the lowest one), eV/atom: 0.000
# Crystal system: tetragonal

---

no.,E_form (meV/atom)
1,146
2,296
3,130
4,302
5,199
6,207
7,243
8,22
9,9
10,20